No. 1
The following is a PBE calculation of a relaxed Sm5Cu2Pd crystal, from Alexandria.

Summary:
Formation enthalpy at 0 K: -211 kJ/mol of formula units
Energy: -4.896 eV/atom
Total magnetization: 0.0 μB/f.u.
Density of states at the Fermi level: 1.39 states/eV/atom
Calculated volume: 410 Å³ per cell
SG: No. 140

abc: 9.4093 9.4093 9.4093
angles: 135.02 135.02 65.50
Sites, in units of the cell vectors:
Sm  0.0000  0.0000  0.0000
Sm  0.0203  0.5203  0.8397
Sm  0.1806  0.0203  0.5000
Sm  0.3194  0.8194  0.8397
Sm  0.4797  0.3194  0.5000
Sm  0.5000  0.5000  0.0000
Sm  0.5203  0.6806  0.5000
Sm  0.6806  0.1806  0.1603
Sm  0.8194  0.9797  0.5000
Sm  0.9797  0.4797  0.1603
Cu  0.1209  0.3791  0.5000
Cu  0.3791  0.8791  0.2581
Cu  0.6209  0.1209  0.7419
Cu  0.8791  0.6209  0.5000
Pd  0.2500  0.2500  0.0000
Pd  0.7500  0.7500  0.0000


No. 2
The following is a PBE calculation of a relaxed Sm8CuPd2 crystal, from Alexandria.

Summary:
Formation enthalpy at 0 K: -200 kJ/mol of formula units
Energy: -4.937 eV/atom
Total magnetization: 0.0 μB/f.u.
Density of states at the Fermi level: 1.37 states/eV/atom
Calculated volume: 323 Å³ per cell
SG: No. 8

abc: 7.8514 7.8514 6.1115
angles: 100.40 100.40 114.43
Sites, in units of the cell vectors:
Sm  0.0000  0.0000  0.0000
Sm  0.0212  0.2778  0.5811
Sm  0.1567  0.5815  0.1851
Sm  0.2778  0.0212  0.5811
Sm  0.4517  0.7087  0.8064
Sm  0.5815  0.1567  0.1851
Sm  0.7087  0.4517  0.8064
Sm  0.7262  0.7262  0.3664
Cu  0.3603  0.3603  0.9951
Pd  0.0537  0.6693  0.6802
Pd  0.6693  0.0537  0.6802


No. 3
The following is a PBE calculation of a relaxed Sm3Cu2Pd5 crystal, from Alexandria.

Summary:
Formation enthalpy at 0 K: -637 kJ/mol of formula units
Energy: -5.492 eV/atom
Total magnetization: 0.0 μB/f.u.
Density of states at the Fermi level: 0.49 states/eV/atom
Calculated volume: 383 Å³ per cell
SG: No. 127

abc: 9.8023 9.8023 3.9829
angles: 90.00 90.00 90.00
Sites, in units of the cell vectors:
Sm  0.0000  0.0000  0.0000
Sm  0.1744  0.3256  0.0000
Sm  0.3256  0.8256  0.0000
Sm  0.5000  0.5000  0.0000
Sm  0.6744  0.1744  0.0000
Sm  0.8256  0.6744  0.0000
Cu  0.1181  0.6181  0.0000
Cu  0.3819  0.1181  0.0000
Cu  0.6181  0.8819  0.0000
Cu  0.8819  0.3819  0.0000
Pd  0.0000  0.5000  0.5000
Pd  0.0715  0.7846  0.5000
Pd  0.2154  0.0715  0.5000
Pd  0.2846  0.5715  0.5000
Pd  0.4285  0.2846  0.5000
Pd  0.5000  0.0000  0.5000
Pd  0.5715  0.7154  0.5000
Pd  0.7154  0.4285  0.5000
Pd  0.7846  0.9285  0.5000
Pd  0.9285  0.2154  0.5000


No. 4
The following is a PBE calculation of a relaxed SmCu8Pd3 crystal, from Alexandria.

Summary:
Formation enthalpy at 0 K: -218 kJ/mol of formula units
Energy: -4.611 eV/atom
Total magnetization: 0.0 μB/f.u.
Density of states at the Fermi level: 0.28 states/eV/atom
Calculated volume: 170 Å³ per cell
SG: No. 156

abc: 4.9370 4.9370 8.0608
angles: 90.00 90.00 120.00
Sites, in units of the cell vectors:
Sm  0.0000  0.0000  0.0000
Cu  0.1649  0.3298  0.6735
Cu  0.1649  0.8351  0.6735
Cu  0.3333  0.6667  0.4318
Cu  0.3333  0.6667  0.9317
Cu  0.5035  0.0069  0.1954
Cu  0.5035  0.4965  0.1954
Cu  0.6702  0.8351  0.6735
Cu  0.9931  0.4965  0.1954
Pd  0.0000  0.0000  0.3774
Pd  0.6667  0.3333  0.4986
Pd  0.6667  0.3333  0.8579


No. 5
The following is a PBE calculation of a relaxed SmCu4Pd8 crystal, from Alexandria.

Summary:
Formation enthalpy at 0 K: -401 kJ/mol of formula units
Energy: -5.138 eV/atom
Total magnetization: 0.0 μB/f.u.
Density of states at the Fermi level: 0.88 states/eV/atom
Calculated volume: 202 Å³ per cell
SG: No. 139

abc: 6.8190 6.8190 6.8190
angles: 97.78 97.78 136.83
Sites, in units of the cell vectors:
Sm  0.0000  0.0000  0.0000
Cu  0.0000  0.0000  0.5000
Cu  0.0000  0.5000  0.0000
Cu  0.5000  0.0000  0.0000
Cu  0.5000  0.5000  0.5000
Pd  0.0000  0.3479  0.3479
Pd  0.0000  0.6521  0.6521
Pd  0.2819  0.5000  0.7819
Pd  0.3479  0.0000  0.3479
Pd  0.5000  0.2819  0.7819
Pd  0.5000  0.7181  0.2181
Pd  0.6521  0.0000  0.6521
Pd  0.7181  0.5000  0.2181


No. 6
The following is a PBE calculation of a relaxed SmCuSnPd crystal, from Alexandria.

Summary:
Formation enthalpy at 0 K: -233 kJ/mol of formula units
Energy: -5.106 eV/atom
Total magnetization: 0.0 μB/f.u.
Density of states at the Fermi level: 0.65 states/eV/atom
Calculated volume: 79 Å³ per cell
SG: No. 216

abc: 4.8178 4.8178 4.8178
angles: 60.00 60.00 60.00
Sites, in units of the cell vectors:
Sm  0.0000  0.0000  0.0000
Cu  0.2500  0.2500  0.2500
Sn  0.5000  0.5000  0.5000
Pd  0.7500  0.7500  0.7500


No. 7
The following is a PBE calculation of a relaxed SrSmCuPd crystal, from Alexandria.

Summary:
Formation enthalpy at 0 K: -126 kJ/mol of formula units
Energy: -4.248 eV/atom
Total magnetization: 0.0 μB/f.u.
Density of states at the Fermi level: 0.93 states/eV/atom
Calculated volume: 97 Å³ per cell
SG: No. 216

abc: 5.1528 5.1528 5.1528
angles: 60.00 60.00 60.00
Sites, in units of the cell vectors:
Sr  0.0000  0.0000  0.0000
Sm  0.5000  0.5000  0.5000
Cu  0.7500  0.7500  0.7500
Pd  0.2500  0.2500  0.2500


No. 8
The following is a PBE calculation of a relaxed TbSmCuPd crystal, from Alexandria.

Summary:
Formation enthalpy at 0 K: -215 kJ/mol of formula units
Energy: -5.216 eV/atom
Total magnetization: 0.0 μB/f.u.
Density of states at the Fermi level: 0.71 states/eV/atom
Calculated volume: 92 Å³ per cell
SG: No. 38

abc: 4.5605 5.6446 5.6446
angles: 39.21 90.00 90.00
Sites, in units of the cell vectors:
Tb  0.0000  0.0000  0.0000
Sm  0.5000  0.7228  0.7228
Cu  0.0000  0.2857  0.2857
Pd  0.5000  0.4408  0.4408


No. 9
The following is a PBE calculation of a relaxed TbSmCuPd crystal, from Alexandria.

Summary:
Formation enthalpy at 0 K: -200 kJ/mol of formula units
Energy: -5.177 eV/atom
Total magnetization: 0.0 μB/f.u.
Density of states at the Fermi level: 0.62 states/eV/atom
Calculated volume: 89 Å³ per cell
SG: No. 216

abc: 5.0075 5.0075 5.0075
angles: 60.00 60.00 60.00
Sites, in units of the cell vectors:
Tb  0.0000  0.0000  0.0000
Sm  0.5000  0.5000  0.5000
Cu  0.2500  0.2500  0.2500
Pd  0.7500  0.7500  0.7500


No. 10
The following is a PBE calculation of a relaxed SmThCuPd crystal, from Alexandria.

Summary:
Formation enthalpy at 0 K: -181 kJ/mol of formula units
Energy: -5.825 eV/atom
Total magnetization: 0.0 μB/f.u.
Density of states at the Fermi level: 0.94 states/eV/atom
Calculated volume: 95 Å³ per cell
SG: No. 38

abc: 4.6097 5.7341 5.7341
angles: 38.85 90.00 90.00
Sites, in units of the cell vectors:
Sm  0.0000  0.0000  0.0000
Th  0.5000  0.7195  0.7195
Cu  0.0000  0.2795  0.2795
Pd  0.5000  0.4320  0.4320


No. 11
The following is a PBE calculation of a relaxed SmThCuPd crystal, from Alexandria.

Summary:
Formation enthalpy at 0 K: -153 kJ/mol of formula units
Energy: -5.753 eV/atom
Total magnetization: 0.0 μB/f.u.
Density of states at the Fermi level: 0.92 states/eV/atom
Calculated volume: 93 Å³ per cell
SG: No. 216

abc: 5.0789 5.0789 5.0789
angles: 60.00 60.00 60.00
Sites, in units of the cell vectors:
Sm  0.0000  0.0000  0.0000
Th  0.5000  0.5000  0.5000
Cu  0.2500  0.2500  0.2500
Pd  0.7500  0.7500  0.7500


No. 12
The following is a PBE calculation of a relaxed SmTmCuPd crystal, from Alexandria.

Summary:
Formation enthalpy at 0 K: -211 kJ/mol of formula units
Energy: -5.166 eV/atom
Total magnetization: 0.0 μB/f.u.
Density of states at the Fermi level: 0.71 states/eV/atom
Calculated volume: 86 Å³ per cell
SG: No. 216

abc: 4.9629 4.9629 4.9629
angles: 60.00 60.00 60.00
Sites, in units of the cell vectors:
Sm  0.0000  0.0000  0.0000
Tm  0.5000  0.5000  0.5000
Cu  0.2500  0.2500  0.2500
Pd  0.7500  0.7500  0.7500


No. 13
The following is a PBE calculation of a relaxed SmTmCuPd crystal, from Alexandria.

Summary:
Formation enthalpy at 0 K: -222 kJ/mol of formula units
Energy: -5.196 eV/atom
Total magnetization: 0.0 μB/f.u.
Density of states at the Fermi level: 0.63 states/eV/atom
Calculated volume: 90 Å³ per cell
SG: No. 38

abc: 4.5777 5.5372 5.5372
angles: 39.68 90.00 90.00
Sites, in units of the cell vectors:
Sm  0.0000  0.0000  0.0000
Tm  0.5000  0.2777  0.2777
Cu  0.0000  0.7194  0.7194
Pd  0.5000  0.5649  0.5649


No. 14
The following is a PBE calculation of a relaxed Sm2Zn2CuPd5 crystal, from Alexandria.

Summary:
Formation enthalpy at 0 K: -551 kJ/mol of formula units
Energy: -4.776 eV/atom
Total magnetization: 0.0 μB/f.u.
Density of states at the Fermi level: 0.39 states/eV/atom
Calculated volume: 356 Å³ per cell
SG: No. 127

abc: 9.6841 9.6841 3.7929
angles: 90.00 90.00 90.00
Sites, in units of the cell vectors:
Sm  0.1782  0.3218  0.0000
Sm  0.3218  0.8218  0.0000
Sm  0.6782  0.1782  0.0000
Sm  0.8218  0.6782  0.0000
Zn  0.1204  0.6204  0.0000
Zn  0.3796  0.1204  0.0000
Zn  0.6204  0.8796  0.0000
Zn  0.8796  0.3796  0.0000
Cu  0.0000  0.0000  0.0000
Cu  0.5000  0.5000  0.0000
Pd  0.0000  0.5000  0.5000
Pd  0.0639  0.7997  0.5000
Pd  0.2003  0.0639  0.5000
Pd  0.2997  0.5639  0.5000
Pd  0.4361  0.2997  0.5000
Pd  0.5000  0.0000  0.5000
Pd  0.5639  0.7003  0.5000
Pd  0.7003  0.4361  0.5000
Pd  0.7997  0.9361  0.5000
Pd  0.9361  0.2003  0.5000


No. 15
The following is a PBE calculation of a relaxed Sm2ZnCu2Pd5 crystal, from Alexandria.

Summary:
Formation enthalpy at 0 K: -582 kJ/mol of formula units
Energy: -5.090 eV/atom
Total magnetization: 0.0 μB/f.u.
Density of states at the Fermi level: 0.36 states/eV/atom
Calculated volume: 349 Å³ per cell
SG: No. 127

abc: 9.4611 9.4611 3.8970
angles: 90.00 90.00 90.00
Sites, in units of the cell vectors:
Sm  0.1767  0.3233  0.0000
Sm  0.3233  0.8233  0.0000
Sm  0.6767  0.1767  0.0000
Sm  0.8233  0.6767  0.0000
Zn  0.0000  0.0000  0.0000
Zn  0.5000  0.5000  0.0000
Cu  0.1212  0.6212  0.0000
Cu  0.3788  0.1212  0.0000
Cu  0.6212  0.8788  0.0000
Cu  0.8788  0.3788  0.0000
Pd  0.0000  0.5000  0.5000
Pd  0.0670  0.7975  0.5000
Pd  0.2025  0.0670  0.5000
Pd  0.2975  0.5670  0.5000
Pd  0.4330  0.2975  0.5000
Pd  0.5000  0.0000  0.5000
Pd  0.5670  0.7025  0.5000
Pd  0.7025  0.4330  0.5000
Pd  0.7975  0.9330  0.5000
Pd  0.9330  0.2025  0.5000


No. 16
The following is a PBE calculation of a relaxed SmZnCuPd crystal, from Alexandria.

Summary:
Formation enthalpy at 0 K: -150 kJ/mol of formula units
Energy: -4.208 eV/atom
Total magnetization: 0.0 μB/f.u.
Density of states at the Fermi level: 0.72 states/eV/atom
Calculated volume: 74 Å³ per cell
SG: No. 216

abc: 4.7205 4.7205 4.7205
angles: 60.00 60.00 60.00
Sites, in units of the cell vectors:
Sm  0.0000  0.0000  0.0000
Zn  0.5000  0.5000  0.5000
Cu  0.2500  0.2500  0.2500
Pd  0.7500  0.7500  0.7500


No. 17
The following is a PBE calculation of a relaxed Sm2Zn3CuPd4 crystal, from Alexandria.

Summary:
Formation enthalpy at 0 K: -550 kJ/mol of formula units
Energy: -4.383 eV/atom
Total magnetization: 0.0 μB/f.u.
Density of states at the Fermi level: 0.42 states/eV/atom
Calculated volume: 187 Å³ per cell
SG: No. 115

abc: 4.1095 4.1095 11.0857
angles: 90.00 90.00 90.00
Sites, in units of the cell vectors:
Sm  0.0000  0.5000  0.2479
Sm  0.5000  0.0000  0.7521
Zn  0.0000  0.0000  0.0000
Zn  0.0000  0.5000  0.6341
Zn  0.5000  0.0000  0.3659
Cu  0.5000  0.5000  0.0000
Pd  0.0000  0.0000  0.5000
Pd  0.0000  0.5000  0.8591
Pd  0.5000  0.0000  0.1409
Pd  0.5000  0.5000  0.5000


No. 18
The following is a PBE calculation of a relaxed SmZn2CuPd4 crystal, from Alexandria.

Summary:
Formation enthalpy at 0 K: -407 kJ/mol of formula units
Energy: -4.544 eV/atom
Total magnetization: 0.0 μB/f.u.
Density of states at the Fermi level: 0.44 states/eV/atom
Calculated volume: 134 Å³ per cell
SG: No. 166

abc: 8.4988 8.4988 8.4988
angles: 29.80 29.80 29.80
Sites, in units of the cell vectors:
Sm  0.0000  0.0000  0.0000
Zn  0.2378  0.2378  0.2378
Zn  0.7622  0.7622  0.7622
Cu  0.5000  0.5000  0.5000
Pd  0.1273  0.1273  0.1273
Pd  0.3966  0.3966  0.3966
Pd  0.6034  0.6034  0.6034
Pd  0.8727  0.8727  0.8727


No. 19
The following is a PBE calculation of a relaxed SmZnCuPd crystal, from Alexandria.

Summary:
Formation enthalpy at 0 K: -187 kJ/mol of formula units
Energy: -4.304 eV/atom
Total magnetization: 0.0 μB/f.u.
Density of states at the Fermi level: 0.54 states/eV/atom
Calculated volume: 77 Å³ per cell
SG: No. 8

abc: 4.3778 4.3778 5.2775
angles: 114.63 114.63 60.16
Sites, in units of the cell vectors:
Sm  0.0000  0.0000  0.0000
Zn  0.5035  0.5035  0.5104
Cu  0.2079  0.2079  0.6232
Pd  0.7887  0.7887  0.3657


No. 20
The following is a PBE calculation of a relaxed SmZrCuPd crystal, from Alexandria.

Summary:
Formation enthalpy at 0 K: -121 kJ/mol of formula units
Energy: -5.954 eV/atom
Total magnetization: 0.0 μB/f.u.
Density of states at the Fermi level: 1.07 states/eV/atom
Calculated volume: 82 Å³ per cell
SG: No. 216

abc: 4.8717 4.8717 4.8717
angles: 60.00 60.00 60.00
Sites, in units of the cell vectors:
Sm  0.0000  0.0000  0.0000
Zr  0.5000  0.5000  0.5000
Cu  0.2500  0.2500  0.2500
Pd  0.7500  0.7500  0.7500


No. 21
The following is a PBE calculation of a relaxed Cu2Sn2Pd crystal, from Alexandria.

Summary:
Formation enthalpy at 0 K: -24 kJ/mol of formula units
Energy: -4.327 eV/atom
Total magnetization: 0.0 μB/f.u.
Density of states at the Fermi level: 0.42 states/eV/atom
Calculated volume: 178 Å³ per cell
SG: No. 127

abc: 6.9082 6.9082 3.7323
angles: 90.00 90.00 90.00
Sites, in units of the cell vectors:
Cu  0.1263  0.3737  0.0000
Cu  0.3737  0.8737  0.0000
Cu  0.6263  0.1263  0.0000
Cu  0.8737  0.6263  0.0000
Sn  0.1767  0.6767  0.5000
Sn  0.3233  0.1767  0.5000
Sn  0.6767  0.8233  0.5000
Sn  0.8233  0.3233  0.5000
Pd  0.0000  0.0000  0.0000
Pd  0.5000  0.5000  0.0000


No. 22
The following is a PBE calculation of a relaxed Cu4SnPd crystal, from Alexandria.

Summary:
Formation enthalpy at 0 K: -32 kJ/mol of formula units
Energy: -4.318 eV/atom
Total magnetization: 0.0 μB/f.u.
Density of states at the Fermi level: 1.02 states/eV/atom
Calculated volume: 85 Å³ per cell
SG: No. 216

abc: 4.9441 4.9441 4.9441
angles: 60.00 60.00 60.00
Sites, in units of the cell vectors:
Cu  0.1245  0.1245  0.1245
Cu  0.1245  0.1245  0.6265
Cu  0.1245  0.6265  0.1245
Cu  0.6265  0.1245  0.1245
Sn  0.5000  0.5000  0.5000
Pd  0.7500  0.7500  0.7500


No. 23
The following is a PBE calculation of a relaxed Cu2Sn2Pd3 crystal, from Alexandria.

Summary:
Formation enthalpy at 0 K: -186 kJ/mol of formula units
Energy: -4.814 eV/atom
Total magnetization: 0.0 μB/f.u.
Density of states at the Fermi level: 0.42 states/eV/atom
Calculated volume: 116 Å³ per cell
SG: No. 12

abc: 4.5205 4.5205 7.0318
angles: 108.50 108.50 60.08
Sites, in units of the cell vectors:
Cu  0.1366  0.1366  0.4115
Cu  0.8634  0.8634  0.5885
Sn  0.4166  0.4166  0.2501
Sn  0.5834  0.5834  0.7499
Pd  0.0000  0.0000  0.0000
Pd  0.2718  0.2718  0.8133
Pd  0.7282  0.7282  0.1867